Entry from Alexandria via LeMat-Bulk: an optimized crystal structure of Ac3Tl3WO8 (PBE with a Hubbard U).

The total energy is -0.2400 Ha/atom. For the total magnetic moment, the calculation gives 4.00 μB per cell.

The structure belongs to space group C2/m (No. 12); the cell edges are 13.021, 7.442 and 7.776 Å and the angles 90.00°, 123.49° and 90.00°. The asymmetric unit holds Ac at (0.000, 0.000, 0.000), Ac at (0.250, 0.250, 0.000), Tl at (0.000, 0.500, 0.500), Tl at (0.250, 0.250, 0.500), W at (0.000, 0.500, 0.000), O at (0.016, 0.287, 0.834), O at (0.205, 0.500, 0.169) and O at (0.226, 0.000, 0.184).